Material: PmVZnO5
Method: DFT, PBE+U
State: optimized geometry

The space group is C2/c (No. 15) and the conventional cell measures 8.617, 8.683 and 8.386 Å, with angles of 90.00, 119.42 and 90.00 degrees. The asymmetric unit holds Pm at (0.000, 0.000, 0.000), V at (0.000, 0.374, 0.250), Zn at (0.000, 0.319, 0.750), O at (0.000, 0.109, 0.750), O at (0.004, 0.261, 0.420) and O at (0.181, 0.492, 0.838).

The crystal system is monoclinic. As for the total DFT energy (no corrections): -7.01 eV/atom.